## Sr2TaAg (GGA-PBE)

Data for Sr2TaAg after structural relaxation.

Cell lengths 3.3856, 3.3856, 9.7668 Å; angles 90.00, 90.00, 90.00 degrees
Closest atoms and distances in Å follow each position.
Fractional positions:
1 Sr 0.0000 0.0000 0.2448  4 Ag 3.38, 4 Sr 3.39, 4 Ta 3.46
2 Sr 0.0000 0.0000 0.7552  4 Ag 3.38, 4 Sr 3.39, 4 Ta 3.46
3 Ta 0.5000 0.5000 0.5000  4 Ta 3.39, 8 Sr 3.46
4 Ag 0.5000 0.5000 0.0000  8 Sr 3.38, 4 Ag 3.39

Properties
Energy above the lowest structure with this stoichiometry = 29 meV per atom
Total magnetic moment = 0.00 μB per atom
Formation enthalpy at 0 K = 568 meV/atom
Calculated total energy = -3.949 eV per atom

---

## Ta3NiS (GGA-PBE)

Data for Ta3NiS after structural relaxation.

Cell lengths 4.5033, 4.5033, 4.5033 Å; angles 90.00, 90.00, 90.00 degrees
Closest atoms and distances in Å follow each position.
Fractional positions:
1 Ta 0.0000 0.0000 0.5000  2 S 2.25
2 Ta 0.0000 0.5000 0.0000  2 S 2.25
3 Ta 0.5000 0.0000 0.0000  2 S 2.25
4 Ni 0.5000 0.5000 0.5000  12 Ta 3.18
5 S 0.0000 0.0000 0.0000  6 Ta 2.25

Properties
Energy above the lowest structure with this stoichiometry = 0 meV per atom
Total magnetic moment = 0.00 μB per atom
Raw formation energy = 0.55 eV per atom
Calculated total energy = -8.545 eV per atom

---

## In2FeCl (GGA-PBE)

Data for In2FeCl after structural relaxation.

Cell lengths 5.6866, 5.6866, 5.9510 Å; angles 117.32, 117.32, 32.00 degrees
Closest atoms and distances in Å follow each position.
Fractional positions:
1 In 0.0000 0.0000 0.0000  2 Fe 2.74, 1 Cl 3.05
2 In 0.1450 0.1450 0.5880  3 Fe 2.89-3.02, 3 In 3.08-3.14
3 Fe 0.4048 0.4048 0.5709  2 Cl 2.37
4 Cl 0.8049 0.8049 0.2330  2 Fe 2.37

Properties
Energy above the lowest structure with this stoichiometry = 86 meV per atom
Total magnetic moment = 0.71 μB per atom
Raw formation energy = 0.00 eV per atom
Calculated total energy = -3.949 eV per atom

---

## Ta2HRhAu (GGA-PBE)

Data for Ta2HRhAu after structural relaxation.

Cell lengths 4.0498, 4.0498, 4.2271 Å; angles 90.00, 90.00, 90.00 degrees
Closest atoms and distances in Å follow each position.
Fractional positions:
1 Ta 0.0000 0.5000 0.0000  2 H 2.02
2 Ta 0.5000 0.0000 0.0000  2 H 2.02
3 H 0.0000 0.0000 0.0000  4 Ta 2.02, 2 Au 2.11
4 Rh 0.5000 0.5000 0.5000  4 Au 2.86, 8 Ta 2.93
5 Au 0.0000 0.0000 0.5000  2 H 2.11

Properties
Energy above the lowest structure with this stoichiometry = 76 meV per atom
Total magnetic moment = 0.00 μB per atom
Calculated total energy = -7.652 eV per atom

---

## Li2CrIr (GGA-PBE)

Data for Li2CrIr after structural relaxation.

Cell lengths 2.6311, 2.6311, 9.2476 Å; angles 90.00, 90.00, 115.73 degrees
Closest atoms and distances in Å follow each position.
Fractional positions:
1 Li 0.0000 0.0000 0.0000  6 Li 2.63-2.80, 2 Cr 2.70
2 Li 0.5000 0.5000 0.2853  2 Ir 2.62, 6 Li 2.63-2.80
3 Cr 0.5000 0.5000 0.7505  2 Ir 2.51, 6 Cr 2.63-2.80, 2 Li 2.70
4 Ir 0.0000 0.0000 0.5251  2 Cr 2.51, 2 Li 2.62, 6 Ir 2.63-2.80

Properties
Energy above the lowest structure with this stoichiometry = 152 meV per atom
Total magnetic moment = 0.00 μB per atom
Formation enthalpy at 0 K = 173 meV/atom
Calculated total energy = -5.405 eV per atom

---

no.,Fermi-level density of states (states/eV/f.u.)
1,3.566
2,7.466
3,3.108
4,2.068
5,3.510